No. 1
{"formula": "K2BeAu", "functional": "PBE", "state": "relaxed", "dos_at_fermi_per_ev_cell": 2.88, "spacegroup": "R-3m", "ef_ev_per_atom": 0.558, "lattice": [[9.132, -0.047, -0.028], [8.018, 4.371, -0.028], [8.018, 2.022, 3.876]], "species": ["Be", "K", "K", "Au"], "fractional_positions": [[0.750, 0.750, 0.750], [0.995, 0.995, 0.995], [0.505, 0.505, 0.505], [0.250, 0.250, 0.250]]}

---

No. 2
{"formula": "KBe2Au", "functional": "PBE", "state": "relaxed", "dos_at_fermi_per_ev_cell": 1.06, "spacegroup": "P1", "ef_ev_per_atom": -0.058, "lattice": [[4.097, -0.069, 0.083], [0.085, 6.235, 1.889], [-2.082, -2.143, 2.722]], "species": ["Be", "Be", "K", "Au"], "fractional_positions": [[0.008, 0.007, 0.006], [0.321, 0.987, 0.653], [0.500, 0.488, 0.998], [0.671, 0.018, 0.343]]}

---

No. 3
{"formula": "K2BeAu2", "functional": "PBE", "state": "relaxed", "dos_at_fermi_per_ev_cell": 5.01, "spacegroup": "P4/mbm", "ef_ev_per_atom": 0.033, "lattice": [[-5.207, -2.146, 3.354], [-0.629, -5.009, -4.182], [3.393, -3.143, 3.256]], "species": ["Be", "Be", "K", "K", "K", "K", "Au", "Au", "Au", "Au"], "fractional_positions": [[0.000, 0.000, 0.000], [0.500, 0.500, 0.000], [0.171, 0.671, 0.500], [0.671, 0.829, 0.500], [0.829, 0.329, 0.500], [0.329, 0.171, 0.500], [0.337, 0.837, 0.000], [0.837, 0.663, 0.000], [0.663, 0.163, 0.000], [0.163, 0.337, 0.000]]}